An optimized crystal structure of ErTmGe2, computed with PBE-GGA.

Properties
The total energy comes out at -5.4181 eV per atom. For the calculated volume, the calculation gives 22.0 Å³ per atom. For the energy relative to the lowest polymorph listed for this composition, the calculation gives 0.0 meV/atom.

The structure in POSCAR format:
```
ErTmGe2
1.0
3.929 0.000 0.000
0.000 2.111 5.306
0.000 -2.111 5.306
Er Tm Ge
1 1 2
Direct
0.000 0.000 0.000 Er
0.500 0.724 0.724 Tm
0.000 0.275 0.275 Ge
0.500 0.449 0.449 Ge
```

***

An optimized crystal structure of KHo2HS4, computed with PBE-GGA.

Properties
The total energy comes out at -5.2348 eV per atom. For the calculated volume, the calculation gives 22.4 Å³ per atom.

The structure in POSCAR format:
```
KHo2HS4
1.0
1.868 -6.789 0.000
1.868 6.789 0.000
0.000 0.000 14.153
K Ho H S
2 4 2 8
Direct
0.125 0.875 0.750 K
0.875 0.125 0.250 K
0.362 0.638 0.556 Ho
0.362 0.638 0.944 Ho
0.638 0.362 0.056 Ho
0.638 0.362 0.444 Ho
0.092 0.908 0.250 H
0.908 0.092 0.750 H
0.000 0.000 0.000 S
0.000 0.000 0.500 S
0.264 0.736 0.108 S
0.264 0.736 0.392 S
0.429 0.571 0.750 S
0.571 0.429 0.250 S
0.736 0.264 0.608 S
0.736 0.264 0.892 S
```

***

An optimized crystal structure of Cu7Ag3, computed with PBE-GGA.

Properties
The total energy comes out at -3.3612 eV per atom. For the calculated volume, the calculation gives 13.7 Å³ per atom. For the energy relative to the lowest polymorph listed for this composition, the calculation gives 43.2 meV/atom. For the energy of formation from the pure elements, the calculation gives 0.0879 eV per atom.

The structure in POSCAR format:
```
Cu7Ag3
1.0
7.036 -1.360 0.000
7.036 1.360 0.000
-1.924 0.000 7.151
Cu Ag
7 3
Direct
0.000 0.000 0.000 Cu
0.002 0.002 0.495 Cu
0.209 0.209 0.092 Cu
0.405 0.405 0.203 Cu
0.602 0.602 0.821 Cu
0.806 0.806 0.380 Cu
0.809 0.809 0.925 Cu
0.203 0.203 0.619 Ag
0.405 0.405 0.697 Ag
0.605 0.605 0.289 Ag
```

***

An optimized crystal structure of HfSc3Te2C2, computed with PBE-GGA.

Properties
The total energy comes out at -7.5660 eV per atom. For the calculated volume, the calculation gives 18.1 Å³ per atom.

The structure in POSCAR format:
```
HfSc3Te2C2
1.0
3.548 0.000 0.000
-1.774 3.073 0.000
0.000 0.000 13.272
Hf Sc Te C
1 3 2 2
Direct
0.000 0.000 0.000 Hf
0.000 0.000 0.676 Sc
0.667 0.333 0.178 Sc
0.667 0.333 0.499 Sc
0.000 0.000 0.337 Te
0.667 0.333 0.841 Te
0.333 0.667 0.083 C
0.333 0.667 0.589 C
```

***

An optimized crystal structure of Co8Sn, computed with PBE-GGA.

Properties
The total energy comes out at -6.6726 eV per atom. For the calculated volume, the calculation gives 21.7 Å³ per atom.

The structure in POSCAR format:
```
Co8Sn
1.0
3.906 -1.752 0.000
3.906 1.752 0.000
-0.041 0.000 28.538
Co Sn
16 2
Direct
0.049 0.049 0.177 Co
0.049 0.049 0.904 Co
0.150 0.150 0.986 Co
0.251 0.251 0.069 Co
0.251 0.251 0.795 Co
0.349 0.349 0.151 Co
0.350 0.350 0.876 Co
0.450 0.450 0.959 Co
0.550 0.550 0.041 Co
0.650 0.650 0.124 Co
0.651 0.651 0.849 Co
0.749 0.749 0.205 Co
0.749 0.749 0.931 Co
0.850 0.850 0.014 Co
0.951 0.951 0.096 Co
0.951 0.951 0.823 Co
0.451 0.451 0.246 Sn
0.549 0.549 0.754 Sn
```

***

What is the calculated volume in the second record?
22.4 Å³ per atom